# 1
Below is an optimized crystal structure of LiTiPN3, with properties calculated at the PBE level.

a b c (Å): 5.5937 2.9562 9.0480
angles (deg): 90.00 91.51 90.00
With the nearest neighbours (Å) after each atom.
Space group P2_1/m (No. 11)
Inequivalent atoms, fractional coordinates:
Li 0.1291 0.2500 0.1482 x2  2 N 2.08
Ti 0.3865 0.7500 0.8861 x2  3 N 1.98
P 0.1178 0.2500 0.5932 x2  1 N 1.55
N 0.1606 0.2500 0.7631 x2  1 P 1.55
N 0.1732 0.7500 0.4968 x2  3 P 1.75-1.80
N 0.3785 0.7500 0.1051 x2  3 Ti 1.98, 2 Li 2.08

ρ   2.84 g/cm3
Electronic total energy   -7.2729 eV/atom
Formation energy without anion corrections   -574 meV/atom


# 2
Below is an optimized crystal structure of Li3U3PN8, with properties calculated at the PBE level.

a b c (Å): 6.7724 6.7724 14.7888
angles (deg): 90.00 90.00 120.00
With the nearest neighbours (Å) after each atom.
Space group R-3m (No. 166, hexagonal axes)
Inequivalent atoms, fractional coordinates:
Li 0.0000 0.5000 0.0000 x9  6 N 2.40-2.47
U 0.0000 0.5000 0.5000 x9  6 N 2.18-2.23
P 0.0000 0.0000 0.5000 x3  6 N 2.18
N 0.0000 0.0000 0.2397 x6  3 U 2.23, 3 Li 2.40
N 0.0004 0.5002 0.2316 x18  1 P 2.18, 2 U 2.18

ρ   7.45 g/cm3
Electronic total energy   -8.1567 eV/atom
Formation energy without anion corrections   -715 meV/atom


# 3
Below is an optimized crystal structure of LiUP2N6, with properties calculated at the PBE level.

a b c (Å): 9.9779 9.5550 5.1817
angles (deg): 90.00 103.72 90.00
With the nearest neighbours (Å) after each atom.
Space group C2/c (No. 15)
Inequivalent atoms, fractional coordinates:
Li 0.0000 0.1396 0.2500 x4  4 N 2.21-2.39
U 0.0000 0.3743 0.7500 x4  4 N 2.07-2.13
P 0.2046 0.0767 0.7837 x8  4 N 1.63-1.66
N 0.1242 0.4254 0.1333 x8  1 P 1.66
N 0.1328 0.2237 0.6664 x8  1 P 1.63
N 0.1501 0.0414 0.0530 x8  2 P 1.64-1.65

ρ   5.41 g/cm3
Electronic total energy   -7.9201 eV/atom
Formation energy without anion corrections   -523 meV/atom